# UBe2Os (PBE-GGA, optimized geometry)
data_UBe2Os
_chemical_formula_sum 'U3 Be6 Os3'
_cell_length_a 2.6914
_cell_length_b 2.6914
_cell_length_c 28.3728
_cell_angle_alpha 90.00
_cell_angle_beta 90.00
_cell_angle_gamma 120.00
_space_group_name_H-M_alt 'R -3 m'
_space_group_IT_number 166
_space_group_name_Hall '-R 3 2"'
loop_
_atom_site_label
_atom_site_fract_x
_atom_site_fract_y
_atom_site_fract_z
U1 0.0000 0.0000 0.0000
Be1 0.0000 0.0000 0.1018
Os1 0.0000 0.0000 0.5000
# E_form: 0.497 eV per atom
# N(E_F): 11.4 states/eV per cell

***

# UBeOs2 (PBE-GGA, optimized geometry)
data_UBeOs2
_chemical_formula_sum 'U1 Be1 Os2'
_cell_length_a 2.942
_cell_length_b 2.942
_cell_length_c 6.783
_cell_angle_alpha 90.00
_cell_angle_beta 90.00
_cell_angle_gamma 90.00
_space_group_name_H-M_alt 'P 4/m m m'
_space_group_IT_number 123
_space_group_name_Hall '-P 4 2'
loop_
_atom_site_label
_atom_site_fract_x
_atom_site_fract_y
_atom_site_fract_z
U1 0.000 0.000 0.000
Be1 0.000 0.000 0.500
Os1 0.500 0.500 0.301
# E_form: 0.024 eV per atom
# N(E_F): 5.0 states/eV per cell

***

# UBeOs2 (PBE-GGA, optimized geometry)
data_UBeOs2
_chemical_formula_sum 'U1 Be1 Os2'
_cell_length_a 4.129
_cell_length_b 4.129
_cell_length_c 3.630
_cell_angle_alpha 90.00
_cell_angle_beta 90.00
_cell_angle_gamma 90.00
_space_group_name_H-M_alt 'P 4/m m m'
_space_group_IT_number 123
_space_group_name_Hall '-P 4 2'
loop_
_atom_site_label
_atom_site_fract_x
_atom_site_fract_y
_atom_site_fract_z
U1 0.000 0.000 0.000
Be1 0.500 0.500 0.000
Os1 0.000 0.500 0.500
# E_form: -0.085 eV per atom
# N(E_F): 1.8 states/eV per cell

***

# UBeOs2 (PBE-GGA, optimized geometry)
data_UBeOs2
_chemical_formula_sum 'U3 Be3 Os6'
_cell_length_a 2.8706
_cell_length_b 2.8706
_cell_length_c 24.6874
_cell_angle_alpha 90.00
_cell_angle_beta 90.00
_cell_angle_gamma 120.00
_space_group_name_H-M_alt 'R -3 m'
_space_group_IT_number 166
_space_group_name_Hall '-R 3 2"'
loop_
_atom_site_label
_atom_site_fract_x
_atom_site_fract_y
_atom_site_fract_z
U1 0.0000 0.0000 0.0000
Be1 0.0000 0.0000 0.5000
Os1 0.0000 0.0000 0.2343
# E_form: 0.204 eV per atom
# N(E_F): 11.5 states/eV per cell